[1]
NaMgTl2 | PBE-GGA | relaxed

a = 3.5426 Å, b = 3.5426 Å, c = 30.0877 Å
α = 90.00°, β = 90.00°, γ = 120.00°
Space group R3m (No. 160, hexagonal axes)
Symmetry-distinct sites (fractional):
Na  0.0000  0.0000  0.0000 (multiplicity 3)
Mg  0.0000  0.0000  0.8335 (multiplicity 3)
Tl  0.0000  0.0000  0.4204 (multiplicity 3)
Tl  0.0000  0.0000  0.5798 (multiplicity 3)

* relative energy among the computed polymorphs: 0.036 eV per atom
* VASP energy: -23.83 eV for the cell shown

[2]
Na5Mg2Tl5 | PBE-GGA | relaxed

a = 9.244 Å, b = 5.334 Å, c = 14.054 Å
α = 90.00°, β = 102.24°, γ = 90.00°
Space group C2/m (No. 12)
Symmetry-distinct sites (fractional):
Na  0.000  0.000  0.000 (multiplicity 2)
Na  0.193  0.000  0.578 (multiplicity 4)
Na  0.222  0.500  0.171 (multiplicity 4)
Mg  0.075  0.500  0.716 (multiplicity 4)
Tl  0.000  0.500  0.500 (multiplicity 2)
Tl  0.100  0.000  0.307 (multiplicity 4)
Tl  0.146  0.500  0.935 (multiplicity 4)

* VASP energy: -45.19 eV for the cell shown

[3]
Na4MgTl | PBE-GGA | relaxed

a = 6.325 Å, b = 19.510 Å, c = 5.631 Å
α = 90.00°, β = 90.92°, γ = 90.00°
Space group C2/c (No. 15)
Symmetry-distinct sites (fractional):
Na  0.245  0.042  0.235 (multiplicity 8)
Na  0.249  0.208  0.250 (multiplicity 8)
Mg  0.000  0.378  0.250 (multiplicity 4)
Tl  0.000  0.128  0.750 (multiplicity 4)

* VASP energy: -36.95 eV for the cell shown

[4]
Na5MgTl4 | PBE-GGA | relaxed

a = 16.754 Å, b = 5.281 Å, c = 6.744 Å
α = 90.00°, β = 109.42°, γ = 90.00°
Space group C2/m (No. 12)
Symmetry-distinct sites (fractional):
Na  0.000  0.000  0.000 (multiplicity 2)
Na  0.114  0.500  0.918 (multiplicity 4)
Na  0.208  0.000  0.308 (multiplicity 4)
Mg  0.000  0.000  0.500 (multiplicity 2)
Tl  0.084  0.500  0.387 (multiplicity 4)
Tl  0.185  0.000  0.771 (multiplicity 4)

* relative energy among the computed polymorphs: 0.000 eV per atom
* VASP energy: -37.17 eV for the cell shown

[5]
Na2Mg3Tl2 | PBE-GGA | relaxed

a = 11.092 Å, b = 4.855 Å, c = 7.660 Å
α = 90.00°, β = 111.28°, γ = 90.00°
Space group C2/m (No. 12)
Symmetry-distinct sites (fractional):
Na  0.145  0.000  0.273 (multiplicity 4)
Mg  0.000  0.500  0.500 (multiplicity 2)
Mg  0.123  0.500  0.937 (multiplicity 4)
Tl  0.145  0.000  0.708 (multiplicity 4)

* relative energy among the computed polymorphs: 0.028 eV per atom
* VASP energy: -24.67 eV for the cell shown

[6]
Na7MgTl4 | PBE-GGA | relaxed

a = 6.081 Å, b = 6.612 Å, c = 9.544 Å
α = 70.28°, β = 84.99°, γ = 89.86°
Space group P-1 (No. 2)
Symmetry-distinct sites (fractional):
Na  0.000  0.000  0.000 (multiplicity 1)
Na  0.178  0.724  0.566 (multiplicity 2)
Na  0.267  0.538  0.920 (multiplicity 2)
Na  0.286  0.194  0.625 (multiplicity 2)
Mg  0.500  0.000  0.000 (multiplicity 1)
Tl  0.266  0.611  0.258 (multiplicity 2)
Tl  0.275  0.134  0.257 (multiplicity 2)

* VASP energy: -21.00 eV for the cell shown

[7]
Na3MgTl12 | PBE-GGA | relaxed

a = 4.961 Å, b = 4.961 Å, c = 18.646 Å
α = 90.00°, β = 90.00°, γ = 90.00°
Space group P4/mmm (No. 123)
Symmetry-distinct sites (fractional):
Na  0.000  0.000  0.000 (multiplicity 1)
Na  0.000  0.000  0.252 (multiplicity 2)
Mg  0.000  0.000  0.500 (multiplicity 1)
Tl  0.000  0.500  0.125 (multiplicity 4)
Tl  0.000  0.500  0.379 (multiplicity 4)
Tl  0.500  0.500  0.000 (multiplicity 1)
Tl  0.500  0.500  0.251 (multiplicity 2)
Tl  0.500  0.500  0.500 (multiplicity 1)

* VASP energy: -34.73 eV for the cell shown

[8]
Na3MgTl7 | PBE-GGA | relaxed

a = 11.527 Å, b = 11.492 Å, c = 5.751 Å
α = 90.00°, β = 119.68°, γ = 90.00°
Space group C2/m (No. 12)
Symmetry-distinct sites (fractional):
Na  0.000  0.000  0.000 (multiplicity 2)
Na  0.000  0.226  0.500 (multiplicity 4)
Mg  0.000  0.500  0.000 (multiplicity 2)
Tl  0.000  0.500  0.500 (multiplicity 2)
Tl  0.170  0.243  0.168 (multiplicity 8)
Tl  0.192  0.000  0.685 (multiplicity 4)

* VASP energy: -44.29 eV for the cell shown

[9]
Na3MgTl8 | PBE-GGA | relaxed

a = 5.414 Å, b = 10.862 Å, c = 11.562 Å
α = 90.00°, β = 90.00°, γ = 90.00°
Space group Imm2 (No. 44)
Symmetry-distinct sites (fractional):
Na  0.000  0.000  0.000 (multiplicity 2)
Na  0.000  0.250  0.500 (multiplicity 4)
Mg  0.000  0.500  0.000 (multiplicity 2)
Tl  0.000  0.000  0.339 (multiplicity 2)
Tl  0.000  0.000  0.661 (multiplicity 2)
Tl  0.000  0.253  0.166 (multiplicity 4)
Tl  0.000  0.253  0.834 (multiplicity 4)
Tl  0.000  0.500  0.333 (multiplicity 2)
Tl  0.000  0.500  0.667 (multiplicity 2)

* VASP energy: -50.95 eV for the cell shown

[10]
Na6MgTl5 | PBE-GGA | relaxed

a = 4.687 Å, b = 9.156 Å, c = 9.171 Å
α = 64.73°, β = 75.37°, γ = 75.30°
Space group P-1 (No. 2)
Symmetry-distinct sites (fractional):
Na  0.000  0.238  0.262 (multiplicity 2)
Na  0.332  0.415  0.422 (multiplicity 2)
Na  0.332  0.922  0.915 (multiplicity 2)
Mg  0.500  0.500  0.000 (multiplicity 1)
Tl  0.149  0.351  0.851 (multiplicity 2)
Tl  0.172  0.828  0.328 (multiplicity 2)
Tl  0.500  0.000  0.500 (multiplicity 1)

* VASP energy: -22.26 eV for the cell shown

[11]
Na2Mg5Tl12 | PBE-GGA | relaxed

a = 18.746 Å, b = 7.748 Å, c = 7.604 Å
α = 90.00°, β = 98.85°, γ = 90.00°
Space group C2/m (No. 12)
Symmetry-distinct sites (fractional):
Na  0.000  0.234  0.000 (multiplicity 4)
Mg  0.000  0.000  0.500 (multiplicity 2)
Mg  0.154  0.500  0.082 (multiplicity 4)
Mg  0.237  0.000  0.535 (multiplicity 4)
Tl  0.057  0.500  0.708 (multiplicity 4)
Tl  0.106  0.265  0.389 (multiplicity 8)
Tl  0.119  0.000  0.832 (multiplicity 4)
Tl  0.236  0.298  0.792 (multiplicity 8)

* relative energy among the computed polymorphs: 0.020 eV per atom
* VASP energy: -77.29 eV for the cell shown

[12]
NaMg8Tl6 | PBE-GGA | relaxed

a = 8.7106 Å, b = 8.7106 Å, c = 18.4991 Å
α = 90.00°, β = 90.00°, γ = 120.00°
Space group R-3 (No. 148, hexagonal axes)
Symmetry-distinct sites (fractional):
Na  0.0000  0.0000  0.0000 (multiplicity 3)
Mg  0.0000  0.0000  0.3273 (multiplicity 6)
Mg  0.0025  0.6598  0.4430 (multiplicity 18)
Tl  0.0015  0.3219  0.3978 (multiplicity 18)

* VASP energy: -82.97 eV for the cell shown

Calculated volume in Å³ per atom, matching the order above: 27.25; 28.22; 28.95; 28.13; 27.45; 29.98; 28.68; 30.08; 28.33; 28.30; 28.72; 27.01
Formation energy from the elements in meV per atom, matching the order above: -74; -82; 0; -93; -26; -59; -49; -3; -83; -77; 19; 41